The following is a PBE calculation of RbCd2Te after structural relaxation, from the Alexandria database.

Output
- Electronic total energy: -13.4 eV for the cell shown
- SG: No. 122

a b c (Å): 9.529 9.529 7.546
angles (deg): 50.85 50.85 90.00
Element x y z (fractional)
Te 0.000 0.000 0.000
Te 0.750 0.250 0.500
Rb 0.500 0.500 0.000
Rb 0.250 0.750 0.500
Cd 0.689 0.125 0.250
Cd 0.061 0.625 0.250
Cd 0.375 0.311 0.750
Cd 0.875 0.939 0.750

---

The following is a PBE calculation of Ba2Dy2O5 after structural relaxation, from the Alexandria database.

Output
- Electronic total energy: -65.3 eV for the cell shown
- SG: No. 12

a b c (Å): 4.322 6.726 7.155
angles (deg): 123.19 90.00 108.74
Element x y z (fractional)
Ba 0.370 0.740 0.720
Ba 0.630 0.260 0.280
Dy 0.113 0.226 0.811
Dy 0.887 0.774 0.189
O 0.343 0.687 0.070
O 0.657 0.313 0.930
O 0.113 0.225 0.500
O 0.887 0.775 0.500
O 0.000 0.000 0.000

---

The following is a PBE calculation of K2Li2As after structural relaxation, from the Alexandria database.

Output
- SG: No. 127
- Energy of formation: -232 meV per atom

a b c (Å): 7.122 7.122 5.828
angles (deg): 90.00 90.00 90.00
Element x y z (fractional)
As 0.000 0.000 0.000
As 0.500 0.500 0.000
K 0.203 0.703 0.500
K 0.703 0.797 0.500
K 0.797 0.297 0.500
K 0.297 0.203 0.500
Li 0.321 0.821 0.000
Li 0.821 0.679 0.000
Li 0.679 0.179 0.000
Li 0.179 0.321 0.000

---

The following is a PBE calculation of NdDyErCd after structural relaxation, from the Alexandria database.

Output
- SG: No. 99
- Energy of formation: -150 meV per atom

a b c (Å): 3.621 3.621 9.019
angles (deg): 90.00 90.00 90.00
Element x y z (fractional)
Nd 0.000 0.000 0.073
Dy 0.500 0.500 0.792
Er 0.500 0.500 0.351
Cd 0.000 0.000 0.569

---

The following is a PBE calculation of Hg2BOsO after structural relaxation, from the Alexandria database.

Output
- Electronic total energy: -17.2 eV for the cell shown
- SG: No. 123

a b c (Å): 5.290 3.923 5.290
angles (deg): 90.00 90.00 90.00
Site moments in Bohr magnetons follow the coordinates.
Element x y z (fractional)
B 0.000 0.500 0.000  -0.02
Os 0.000 0.000 0.000  0.71
Hg 0.000 0.000 0.500  0.03
Hg 0.500 0.000 0.000  0.01
O 0.500 0.500 0.500  -0.10

---

The following is a PBE calculation of VAg2I after structural relaxation, from the Alexandria database.

Output
- Electronic total energy: -27.7 eV for the cell shown
- SG: No. 122

a b c (Å): 8.230 8.230 6.432
angles (deg): 50.22 50.22 90.00
Site moments in Bohr magnetons follow the coordinates.
Element x y z (fractional)
I 0.000 0.000 0.000  -0.06
I 0.750 0.250 0.500  -0.06
Ag 0.606 0.125 0.250  -0.01
Ag 0.144 0.625 0.250  -0.01
Ag 0.375 0.394 0.750  -0.01
Ag 0.875 0.856 0.750  -0.01
V 0.500 0.500 0.000  2.50
V 0.250 0.750 0.500  2.50

---

The following is a PBE calculation of Sb4RhAu after structural relaxation, from the Alexandria database.

Output
- Electronic total energy: -57.5 eV for the cell shown
- SG: No. 14

a b c (Å): 6.592 6.592 6.609
angles (deg): 90.00 90.18 90.00
Element x y z (fractional)
Sb 0.884 0.620 0.138
Sb 0.616 0.120 0.862
Sb 0.367 0.368 0.389
Sb 0.133 0.868 0.611
Sb 0.116 0.380 0.862
Sb 0.384 0.880 0.138
Sb 0.633 0.632 0.611
Sb 0.867 0.132 0.389
Rh 0.500 0.000 0.500
Rh 0.000 0.500 0.500
Au 0.000 0.000 0.000
Au 0.500 0.500 0.000

---

The following is a PBE calculation of Mg3NbRh after structural relaxation, from the Alexandria database.

Output
- SG: No. 221
- Energy of formation: 570 meV per atom

a b c (Å): 4.748 4.748 4.748
angles (deg): 90.00 90.00 90.00
Element x y z (fractional)
Nb 0.500 0.500 0.500
Rh 0.000 0.000 0.000
Mg 0.000 0.500 0.000
Mg 0.000 0.000 0.500
Mg 0.500 0.000 0.000